Entry from Alexandria: a geometry-optimized Cs2ReCl5F structure (GGA-PBE).

The value obtained for the calculated volume is 574.91 Å³/cell. The total energy is -4.34 eV per atom. As for the energy relative to the elements, uncorrected: -1.531 eV per atom.

The structure belongs to space group I4mm (No. 107); the cell edges are 7.386, 7.386 and 10.539 Å and the angles 90.00°, 90.00° and 90.00°. Symmetry generates all atoms from Cs at (0.000, 0.500, 0.000), Re at (0.000, 0.000, 0.252), Cl at (0.000, 0.000, 0.477), Cl at (0.228, 0.228, 0.248) and F at (0.000, 0.000, 0.064).

Entry from Alexandria: a geometry-optimized K2ZrAg structure (GGA-PBE).

The value obtained for the formation energy is 1.08 eV/atom. The value obtained for the calculated volume is 585.89 Å³/cell. The total energy is -2.32 eV per atom.

The structure belongs to space group Fm-3m (No. 225); the cell edges are 8.368, 8.368 and 8.368 Å and the angles 90.00°, 90.00° and 90.00°. Symmetry generates all atoms from K at (0.250, 0.250, 0.250), Zr at (0.000, 0.000, 0.000) and Ag at (0.000, 0.000, 0.500).

Entry from Alexandria: a geometry-optimized RbV3Mo structure (GGA-PBE).

The value obtained for the formation energy is 1.46 eV/atom. The value obtained for the calculated volume is 121.95 Å³/cell. The total energy is -6.37 eV per atom.

The structure belongs to space group Pm-3m (No. 221); the cell edges are 4.959, 4.959 and 4.959 Å and the angles 90.00°, 90.00° and 90.00°. Symmetry generates all atoms from Rb at (0.000, 0.000, 0.000), V at (0.000, 0.500, 0.500) and Mo at (0.500, 0.500, 0.500).

Entry from Alexandria: a geometry-optimized BaLi2IF structure (GGA-PBE).

The value obtained for the calculated volume is 157.62 Å³/cell. The total energy is -3.11 eV per atom. As for the energy relative to the elements, uncorrected: -1.280 eV per atom.

The structure belongs to space group P4/mmm (No. 123); the cell edges are 4.640, 4.640 and 7.322 Å and the angles 90.00°, 90.00° and 90.00°. Symmetry generates all atoms from Ba at (0.000, 0.000, 0.000), Li at (0.000, 0.500, 0.500), I at (0.500, 0.500, 0.000) and F at (0.500, 0.500, 0.500).

calculated volume of number 2 (K2ZrAg)? 585.89 Å³/cell

Which value of calculated volume does entry 4 give? 157.62 Å³/cell